1.
Material: K2TcPd
Method: DFT, PBE
State: optimized geometry

- energy of formation from the pure elements (eV per atom) = 1.014
- total moment (μB/cell) = 15.30
- DFT total energy (eV per atom) = -3.42

Cell: 11.9555 11.9555 5.0354 Å, 90.00 90.00 90.00°
Last column: nearest neighbours and their distance in Å.
Space group I-42d (No. 122)
Inequivalent atoms, fractional coordinates:
K1 0.0867 0.7500 0.1250  2 Pd 3.23
Tc1 0.0000 0.0000 0.5000  2 Pd 2.52
Pd1 0.0000 0.0000 0.0000  2 Tc 2.52

***

2.
Material: YMnAgBr6
Method: DFT, PBE
State: optimized geometry

- energy relative to the elements, uncorrected (eV/atom) = -1.1397
- total moment (μB/cell) = 10.00
- DFT total energy (eV per atom) = -4.31

Cell: 6.9601 6.9601 12.9521 Å, 90.00 90.00 120.00°
Last column: nearest neighbours and their distance in Å.
Space group P-31c (No. 163)
Inequivalent atoms, fractional coordinates:
Y1 0.3333 0.6667 0.2500  6 Br 2.82
Mn1 0.3333 0.6667 0.7500  6 Br 2.70
Ag1 0.0000 0.0000 0.0000  6 Br 2.95
Br1 0.0127 0.3548 0.6289  1 Mn 2.70, 1 Y 2.82, 1 Ag 2.95

***

3.
Material: AlCuBr2
Method: DFT, PBE
State: optimized geometry

- energy relative to the elements, uncorrected (eV/atom) = -0.0824
- total moment (μB/cell) = 0.00
- DFT total energy (eV per atom) = -2.88

Cell: 7.8188 3.7325 7.5753 Å, 90.00 111.36 90.00°
Last column: nearest neighbours and their distance in Å.
Space group C2/m (No. 12)
Inequivalent atoms, fractional coordinates:
Al1 0.0000 0.0000 0.0000  6 Br 3.10-3.19
Cu1 0.0000 0.5000 0.5000  4 Br 2.57
Br1 0.1953 0.0000 0.7103  2 Cu 2.57

***

4.
Material: CsAsIO2
Method: DFT, PBE
State: optimized geometry

- energy relative to the elements, uncorrected (eV/atom) = -1.1002
- total moment (μB/cell) = 0.00
- DFT total energy (eV per atom) = -4.49

Cell: 6.9576 16.7140 5.2348 Å, 90.00 90.00 90.00°
Last column: nearest neighbours and their distance in Å.
Space group Cmcm (No. 63)
Inequivalent atoms, fractional coordinates:
Cs1 0.0000 0.1188 0.2500  4 O 3.29
As1 0.0000 0.4634 0.2500  4 O 1.88
I1 0.0000 0.2874 0.7500  4 Cs 3.82-3.85, 3 As 3.94-4.16, 4 O 3.97
O1 0.1724 0.5000 0.0000  2 As 1.88

***

5.
Material: Mg2NbPd2
Method: DFT, PBE
State: optimized geometry

- energy of formation from the pure elements (eV per atom) = -0.258
- total moment (μB/cell) = 0.62
- DFT total energy (eV per atom) = -4.99

Cell: 7.6763 7.6763 2.8512 Å, 90.00 90.00 90.00°
Last column: nearest neighbours and their distance in Å.
Space group P4/mbm (No. 127)
Inequivalent atoms, fractional coordinates:
Mg1 0.1286 0.3714 0.0000  6 Pd 2.60-2.73, 3 Mg 2.79-2.85
Nb1 0.0000 0.0000 0.0000  2 Nb 2.85, 4 Mg 3.02, 8 Pd 3.18
Pd1 0.1711 0.6711 0.5000  6 Mg 2.60-2.73, 2 Pd 2.85

***

6.
Material: ScIrPb2
Method: DFT, PBE
State: optimized geometry

- energy of formation from the pure elements (eV per atom) = 0.077
- total moment (μB/cell) = 0.00
- DFT total energy (eV per atom) = -5.58

Cell: 3.4211 3.4211 7.3807 Å, 90.00 90.00 90.00°
Last column: nearest neighbours and their distance in Å.
Space group P4/mmm (No. 123)
Inequivalent atoms, fractional coordinates:
Sc1 0.0000 0.0000 0.0000  8 Pb 3.16, 4 Sc 3.42
Ir1 0.0000 0.0000 0.5000  8 Pb 2.94
Pb1 0.5000 0.5000 0.2747  4 Ir 2.94, 4 Sc 3.16

***

7.
Material: K3AcHo2O6
Method: DFT, PBE
State: optimized geometry

- energy relative to the elements, uncorrected (eV/atom) = -2.6793
- total moment (μB/cell) = 0.00
- DFT total energy (eV per atom) = -6.54

Cell: 16.3759 3.5831 7.5653 Å, 90.00 106.99 90.00°
Last column: nearest neighbours and their distance in Å.
Space group C2/m (No. 12)
Inequivalent atoms, fractional coordinates:
K1 0.0000 0.0000 0.0000  6 O 2.77-2.92
K2 0.1708 0.5000 0.3294  5 O 2.69-2.97
Ac1 0.0000 0.0000 0.5000  6 O 2.49-2.53
Ho1 0.1707 0.5000 0.8428  6 O 2.29-2.35
O1 0.0221 0.5000 0.7389  1 Ho 2.33, 2 Ac 2.49
O2 0.1607 0.0000 0.6356  2 Ho 2.35, 1 Ac 2.53
O3 0.1834 0.0000 0.0477  3 Ho 2.29-2.34

***

8.
Material: Ni2OsW
Method: DFT, PBE
State: optimized geometry

- energy of formation from the pure elements (eV per atom) = 0.185
- total moment (μB/cell) = 0.00
- DFT total energy (eV per atom) = -8.75

Cell: 2.6299 2.6299 7.5939 Å, 90.00 90.00 90.00°
Last column: nearest neighbours and their distance in Å.
Space group P4/mmm (No. 123)
Inequivalent atoms, fractional coordinates:
Ni1 0.0000 0.0000 0.2417  4 Os 2.61, 4 Ni 2.63, 4 W 2.70
Os1 0.5000 0.5000 0.0000  8 Ni 2.61, 4 Os 2.63
W1 0.5000 0.5000 0.5000  4 W 2.63, 8 Ni 2.70